[1]
A plane-wave DFT calculation with PBE was carried out for crystalline BeCrSb2 at its relaxed geometry.

```
BeCrSb2
1.0
-0.222 -3.126 -1.186
1.577 -1.141 2.713
-4.507 -1.434 4.622
Sb Cr Be
2 1 1
direct
0.000 0.417 0.508
0.000 0.083 0.992
0.500 0.750 0.750
0.500 0.250 0.250
```

## Properties
The calculation puts the raw formation energy at 204 kJ/mol of formula units. The calculation puts the calculated volume at 17.52 Å³ per atom.



[2]
A plane-wave DFT calculation with PBE was carried out for crystalline Ba7InBi2O2 at its relaxed geometry.

```
Ba7InBi2O2
1.0
5.439 -0.003 0.014
0.003 5.439 0.014
2.682 2.678 15.011
Ba In Bi O
7 1 2 2
direct
0.300 0.300 0.399
0.700 0.700 0.601
0.596 0.096 0.808
0.404 0.904 0.192
0.904 0.404 0.192
0.096 0.596 0.808
0.500 0.500 0.000
0.000 0.000 0.000
0.819 0.819 0.361
0.181 0.181 0.639
0.597 0.597 0.806
0.403 0.403 0.194
```

## Properties
The calculation puts the raw formation energy at -1518 kJ/mol of formula units. The calculation puts the calculated volume at 36.97 Å³ per atom.



[3]
A plane-wave DFT calculation with PBE was carried out for crystalline AlTlPb2 at its relaxed geometry.

```
AlTlPb2
1.0
-3.156 -0.895 -3.534
-2.467 -0.727 2.387
-3.058 6.098 1.186
Al Pb Tl
1 2 1
direct
0.500 0.942 0.717
0.500 0.195 0.247
0.000 0.823 0.998
0.000 0.540 0.539
```

## Properties
The value obtained for the formation energy from the elements is 0.17 eV per atom. The calculation puts the calculated volume at 28.41 Å³ per atom. As for the energy above the most stable polymorph in this dataset: 56.1 meV per atom.